Below is TbSc4Zn5 after structural relaxation, with properties calculated at the PBE-GGA level.

Formation energy = -0.3587 eV per atom
Total magnetic moment = 0.00 μB/atom
Space group = P4/mmm (123)

```
10
Lattice="3.391 0.000 0.000 0.000 3.391 0.000 0.000 0.000 17.050" Properties=species:S:1:pos:R:3 pbc="T T T"
Tb 0.000 0.000 0.000
Sc 0.000 0.000 3.556
Sc 0.000 0.000 6.874
Sc 0.000 0.000 10.177
Sc 0.000 0.000 13.494
Zn 1.695 1.695 1.961
Zn 1.695 1.695 5.205
Zn 1.695 1.695 8.525
Zn 1.695 1.695 11.845
Zn 1.695 1.695 15.089
```

---

Below is TbScZn4 after structural relaxation, with properties calculated at the PBE-GGA level.

Formation energy = -0.3614 eV per atom
Total magnetic moment = 0.00 μB/atom
Space group = Imm2 (44)
Energy relative to the lowest polymorph listed for this composition = 0 meV per atom

```
12
Lattice="4.410 0.000 0.000 0.000 6.906 0.000 0.000 0.000 7.478" Properties=species:S:1:pos:R:3 pbc="T T T"
Tb 0.000 0.000 0.000
Tb 2.205 3.453 3.739
Sc 0.000 3.453 7.036
Sc 2.205 0.000 3.297
Zn 0.000 1.410 4.691
Zn 0.000 2.030 2.218
Zn 0.000 4.876 2.218
Zn 0.000 5.496 4.691
Zn 2.205 1.423 5.957
Zn 2.205 2.043 0.952
Zn 2.205 4.863 0.952
Zn 2.205 5.483 5.957
```

---

Below is Tb2Zr2Sc3 after structural relaxation, with properties calculated at the PBE-GGA level.

Formation energy = 0.0435 eV per atom
Total magnetic moment = 0.00 μB/atom
Space group = Cmmm (65)

```
14
Lattice="5.024 0.000 0.000 0.000 22.291 0.000 0.000 0.000 3.258" Properties=species:S:1:pos:R:3 pbc="T T T"
Tb 0.000 1.707 0.000
Tb 0.000 20.584 0.000
Tb 2.512 9.438 0.000
Tb 2.512 12.852 0.000
Zr 0.000 4.914 0.000
Zr 0.000 17.377 0.000
Zr 2.512 6.232 0.000
Zr 2.512 16.059 0.000
Sc 0.000 7.668 1.629
Sc 0.000 11.145 1.629
Sc 0.000 14.623 1.629
Sc 2.512 0.000 1.629
Sc 2.512 3.478 1.629
Sc 2.512 18.813 1.629
```

---

Q: formation energy of number 3 (Tb2Zr2Sc3)?
A: 0.0435 eV per atom